No. 1
Density functional theory data (PBE) for a geometry-optimized Li8Zn3In3 structure.

Unit cell a=4.397 b=10.141 c=7.883 alpha=130.03 beta=106.19 gamma=90.00
Atoms (fractional coordinates):
Zn1 0.000 0.141 0.000
Zn2 0.000 0.859 0.000
Zn3 0.500 0.000 0.000
Li1 0.365 0.078 0.729
Li2 0.122 0.751 0.244
Li3 0.878 0.249 0.756
Li4 0.878 0.507 0.756
Li5 0.635 0.922 0.271
Li6 0.635 0.349 0.271
Li7 0.365 0.651 0.729
Li8 0.122 0.493 0.244
In1 0.500 0.500 0.000
In2 0.223 0.223 0.446
In3 0.777 0.777 0.554

Calculated values
E_form: -0.1616 eV/atom
final energy: -2.115 eV per atom


No. 2
Density functional theory data (PBE) for a geometry-optimized BaNa2Au4 structure.

Unit cell a=5.593 b=6.137 c=6.137 alpha=78.02 beta=62.89 gamma=62.89
Atoms (fractional coordinates):
Au1 0.694 0.613 0.000
Au2 0.306 0.387 0.000
Au3 0.694 0.000 0.613
Au4 0.306 0.000 0.387
Na1 0.250 0.500 0.500
Na2 0.750 0.500 0.500
Ba1 0.000 0.000 0.000

Calculated values
E_form: -0.4829 eV/atom
excess energy over the best structure of this formula in the dataset: 0 meV/atom
final energy: -3.007 eV per atom


No. 3
Density functional theory data (PBE) for a geometry-optimized La8Nd2Sm structure.

Unit cell a=5.258 b=8.296 c=9.810 alpha=104.66 beta=105.54 gamma=90.00
Atoms (fractional coordinates):
La1 0.136 0.182 0.273
La2 0.682 0.911 0.363
La3 0.318 0.089 0.637
La4 0.864 0.818 0.727
La5 0.590 0.453 0.181
La6 0.410 0.547 0.819
La7 0.046 0.727 0.092
La8 0.954 0.273 0.908
Sm1 0.500 0.000 0.000
Nd1 0.227 0.636 0.453
Nd2 0.773 0.364 0.547

Calculated values
E_form: 0.0118 eV/atom
excess energy over the best structure of this formula in the dataset: 0 meV/atom
final energy: -4.868 eV per atom


Q: Among the records above, which one has the lowest E_form?
A: BaNa2Au4


Q: What is the formula in the third record?
A: La8Nd2Sm


Q: Number 2 is which compound?
A: BaNa2Au4